# Ge2OsRu | Alexandria | GGA-PBE | relaxed
# D(E_F)   0.4 states/eV/f.u.
# Energy relative to the elements   -0.047 eV/atom
data_Ge2OsRu
_space_group_name_H-M_alt 'P 4/m m m'
_space_group_IT_number 123
_space_group_name_Hall '-P 4 2'
_cell_length_a 3.049
_cell_length_b 3.049
_cell_length_c 6.097
_cell_angle_alpha 90.00
_cell_angle_beta 90.00
_cell_angle_gamma 90.00
loop_
_atom_site_label
_atom_site_fract_x
_atom_site_fract_y
_atom_site_fract_z
Ge1 0.000 0.000 0.249
Os1 0.500 0.500 0.500
Ru1 0.500 0.500 0.000



# Pr2SmOsO8 | Alexandria | GGA-PBE | relaxed
# D(E_F)   2.3 states/eV/f.u.
# Formation energy (no corrections)   -2.396 eV per atom
data_Pr2SmOsO8
_space_group_name_H-M_alt 'C m m m'
_space_group_IT_number 65
_space_group_name_Hall '-C 2 2'
_cell_length_a 7.381
_cell_length_b 7.396
_cell_length_c 7.020
_cell_angle_alpha 90.00
_cell_angle_beta 90.00
_cell_angle_gamma 90.00
loop_
_atom_site_label
_atom_site_fract_x
_atom_site_fract_y
_atom_site_fract_z
Pr1 0.000 0.000 0.249
Sm1 0.000 0.500 0.500
Os1 0.000 0.500 0.000
O1 0.000 0.323 0.205
O2 0.194 0.000 0.500
O3 0.248 0.000 0.000



Please write out number 1 again, unchanged.
# Ge2OsRu | Alexandria | GGA-PBE | relaxed
# D(E_F)   0.4 states/eV/f.u.
# Energy relative to the elements   -0.047 eV/atom
data_Ge2OsRu
_space_group_name_H-M_alt 'P 4/m m m'
_space_group_IT_number 123
_space_group_name_Hall '-P 4 2'
_cell_length_a 3.049
_cell_length_b 3.049
_cell_length_c 6.097
_cell_angle_alpha 90.00
_cell_angle_beta 90.00
_cell_angle_gamma 90.00
loop_
_atom_site_label
_atom_site_fract_x
_atom_site_fract_y
_atom_site_fract_z
Ge1 0.000 0.000 0.249
Os1 0.500 0.500 0.500
Ru1 0.500 0.500 0.000